[1]
A plane-wave DFT calculation with PBE-GGA was carried out for a relaxed PbSe2NF crystal.

Properties
Magnetization: 0.872 μB per atom
Mass density: 4.78 g/cm3
Formation energy from raw total energies: 5.408 eV/f.u.
Space group: No. 123
ΔE to the lowest computed polymorph: 1.494 eV/f.u.

Cell: 5.616 5.616 4.383 Å, 90.00 90.00 90.00°
Positions (direct):
Pb 0.000 0.000 0.000
Se 0.000 0.500 0.000
Se 0.500 0.000 0.000
N 0.000 0.000 0.500
F 0.500 0.500 0.500

[2]
A plane-wave DFT calculation with PBE-GGA was carried out for a relaxed CeHoMg17 crystal.

Properties
Magnetization: 0.063 μB per atom
Mass density: 2.59 g/cm3
Space group: No. 160
Energy relative to the elements: -0.0077 eV per atom

Cell: 7.785 7.785 7.785 Å, 82.16 82.16 82.16°
Positions (direct):
Ce 0.000 0.000 0.000
Ho 0.340 0.340 0.340
Mg 0.024 0.024 0.499
Mg 0.024 0.499 0.024
Mg 0.164 0.673 0.673
Mg 0.319 0.319 0.820
Mg 0.319 0.820 0.319
Mg 0.366 0.667 0.973
Mg 0.366 0.973 0.667
Mg 0.499 0.024 0.024
Mg 0.568 0.568 0.568
Mg 0.667 0.366 0.973
Mg 0.667 0.973 0.366
Mg 0.673 0.164 0.673
Mg 0.673 0.673 0.164
Mg 0.766 0.766 0.766
Mg 0.820 0.319 0.319
Mg 0.973 0.366 0.667
Mg 0.973 0.667 0.366

[3]
A plane-wave DFT calculation with PBE-GGA was carried out for a relaxed HfUN3 crystal.

Properties
Magnetization: 0.204 μB per atom
Mass density: 11.02 g/cm3
Formation energy from raw total energies: -5.936 eV/f.u.
Space group: No. 155

Cell: 6.204 6.204 6.204 Å, 52.28 52.28 52.28°
Positions (direct):
Hf 0.148 0.148 0.148
Hf 0.852 0.852 0.852
U 0.352 0.352 0.352
U 0.648 0.648 0.648
N 0.042 0.447 0.763
N 0.237 0.553 0.958
N 0.447 0.763 0.042
N 0.553 0.958 0.237
N 0.763 0.042 0.447
N 0.958 0.237 0.553

[4]
A plane-wave DFT calculation with PBE-GGA was carried out for a relaxed Cd5AgAu crystal.

Properties
Magnetization: 0.000 μB per atom
Mass density: 9.36 g/cm3
Space group: No. 123
ΔE to the lowest computed polymorph: 0.000 eV/f.u.
Energy relative to the elements: -0.0596 eV per atom

Cell: 4.413 4.413 7.900 Å, 90.00 90.00 90.00°
Positions (direct):
Cd 0.000 0.000 0.000
Cd 0.000 0.500 0.274
Cd 0.000 0.500 0.726
Cd 0.500 0.000 0.274
Cd 0.500 0.000 0.726
Ag 0.500 0.500 0.000
Au 0.000 0.000 0.500

[5]
A plane-wave DFT calculation with PBE-GGA was carried out for a relaxed BeCdCu2 crystal.

Properties
Magnetization: 0.000 μB per atom
Mass density: 7.75 g/cm3
Space group: No. 44
ΔE to the lowest computed polymorph: 0.563 eV/f.u.
Energy relative to the elements: 0.1576 eV per atom

Cell: 4.873 4.873 4.873 Å, 143.17 128.93 64.61°
Positions (direct):
Be 0.000 0.000 0.000
Cd 0.253 0.753 0.500
Cu 0.529 0.529 0.000
Cu 0.796 0.296 0.500

[6]
A plane-wave DFT calculation with PBE-GGA was carried out for a relaxed CrRe4As crystal.

Properties
Magnetization: 0.443 μB per atom
Mass density: 14.51 g/cm3
Space group: No. 216
Energy relative to the elements: 0.7145 eV per atom

Cell: 5.206 5.206 5.206 Å, 60.00 60.00 60.00°
Positions (direct):
Cr 0.000 0.000 0.000
Re 0.125 0.625 0.625
Re 0.625 0.125 0.625
Re 0.625 0.625 0.125
Re 0.625 0.625 0.625
As 0.250 0.250 0.250

[7]
A plane-wave DFT calculation with PBE-GGA was carried out for a relaxed CsCaNb crystal.

Properties
Magnetization: 1.531 μB per atom
Mass density: 3.69 g/cm3
Space group: No. 186
ΔE to the lowest computed polymorph: 2.928 eV/f.u.
Energy relative to the elements: 1.3751 eV per atom

Cell: 6.202 6.202 7.190 Å, 90.00 90.00 120.00°
Positions (direct):
Cs 0.000 0.000 0.000
Cs 0.000 0.000 0.500
Ca 0.333 0.667 0.248
Ca 0.667 0.333 0.748
Nb 0.333 0.667 0.748
Nb 0.667 0.333 0.248

[8]
A plane-wave DFT calculation with PBE-GGA was carried out for a relaxed CuSi2Te crystal.

Properties
Magnetization: 0.000 μB per atom
Mass density: 5.54 g/cm3
Formation energy from raw total energies: 1.193 eV/f.u.
Space group: No. 71

Cell: 5.988 5.988 5.988 Å, 144.10 143.72 51.96°
Positions (direct):
Cu 0.000 0.000 0.000
Si 0.231 0.231 0.000
Si 0.769 0.769 0.000
Te 0.500 0.500 0.000

- What is the mass density in the fifth record?
  7.75 g/cm3